[1]
Computed, not measured: a geometry-optimized Sr2MgIr structure at the GGA-PBE level of DFT.

Structure (CIF):
```
data_Sr2MgIr
_chemical_formula_sum 'Sr4 Mg2 Ir2'
_symmetry_space_group_name_H-M 'C 1 m 1'
_symmetry_Int_Tables_number 8
_cell_length_a 13.372
_cell_length_b 3.661
_cell_length_c 5.418
_cell_angle_alpha 90.00
_cell_angle_beta 113.84
_cell_angle_gamma 90.00
loop_
_symmetry_equiv_pos_as_xyz
'x,y,z'
'x,-y,z'
'x+1/2,y+1/2,z'
'x+1/2,-y+1/2,z'
loop_
_atom_site_label
_atom_site_type_symbol
_atom_site_fract_x
_atom_site_fract_y
_atom_site_fract_z
Sr1 Sr 0.000 0.000 0.000
Sr2 Sr 0.191 0.000 0.691
Mg1 Mg 0.359 0.000 0.358
Ir1 Ir 0.202 0.500 0.202
```

DFT total energy in eV per atom: -3.523

[2]
Computed, not measured: a geometry-optimized SrMg4Ir2 structure at the GGA-PBE level of DFT.

Structure (CIF):
```
data_SrMg4Ir2
_chemical_formula_sum 'Sr2 Mg8 Ir4'
_symmetry_space_group_name_H-M 'P 42/m n m'
_symmetry_Int_Tables_number 136
_symmetry_space_group_name_Hall '-P 4n 2n'
_cell_length_a 8.252
_cell_length_b 8.252
_cell_length_c 4.352
_cell_angle_alpha 90.00
_cell_angle_beta 90.00
_cell_angle_gamma 90.00
loop_
_atom_site_label
_atom_site_type_symbol
_atom_site_fract_x
_atom_site_fract_y
_atom_site_fract_z
Sr1 Sr 0.000 0.000 0.000
Mg1 Mg 0.087 0.330 0.500
Ir1 Ir 0.226 0.774 0.500
```

DFT total energy in eV per atom: -3.957

[3]
Computed, not measured: a geometry-optimized Sr3MgIr8 structure at the GGA-PBE level of DFT.

Structure (CIF):
```
data_Sr3MgIr8
_chemical_formula_sum 'Sr9 Mg3 Ir24'
_symmetry_space_group_name_H-M 'R 3 m'
_symmetry_Int_Tables_number 160
_symmetry_space_group_name_Hall 'R 3 -2"'
_cell_length_a 5.4455
_cell_length_b 5.4455
_cell_length_c 26.3457
_cell_angle_alpha 90.00
_cell_angle_beta 90.00
_cell_angle_gamma 120.00
loop_
_atom_site_label
_atom_site_type_symbol
_atom_site_fract_x
_atom_site_fract_y
_atom_site_fract_z
Sr1 Sr 0.0000 0.0000 0.0000
Sr2 Sr 0.0000 0.0000 0.1258
Sr3 Sr 0.0000 0.0000 0.5007
Mg1 Mg 0.0000 0.0000 0.6252
Ir1 Ir 0.0000 0.0000 0.3123
Ir2 Ir 0.0000 0.0000 0.8124
Ir3 Ir 0.0068 0.5034 0.5656
Ir4 Ir 0.1707 0.3413 0.3925
```

DFT total energy in eV per atom: -6.687

[4]
Computed, not measured: a geometry-optimized Sr2MgIr structure at the GGA-PBE level of DFT.

Structure (CIF):
```
data_Sr2MgIr
_chemical_formula_sum 'Sr4 Mg2 Ir2'
_symmetry_space_group_name_H-M 'C 1 m 1'
_symmetry_Int_Tables_number 8
_cell_length_a 7.853
_cell_length_b 4.532
_cell_length_c 8.285
_cell_angle_alpha 90.00
_cell_angle_beta 108.55
_cell_angle_gamma 90.00
loop_
_symmetry_equiv_pos_as_xyz
'x,y,z'
'x,-y,z'
'x+1/2,y+1/2,z'
'x+1/2,-y+1/2,z'
loop_
_atom_site_label
_atom_site_type_symbol
_atom_site_fract_x
_atom_site_fract_y
_atom_site_fract_z
Sr1 Sr 0.000 0.000 0.000
Sr2 Sr 0.170 0.000 0.509
Mg1 Mg 0.419 0.000 0.254
Ir1 Ir 0.252 0.500 0.256
```

DFT total energy in eV per atom: -3.659

> Look up the DFT total energy of the third one.

-6.687 eV per atom